# 1
First-principles (PBE) data for Mn2GaH after structural relaxation, as listed in the Alexandria database.

POSCAR file:
```
Mn2GaH
1.0
2.597 0.000 0.000
0.000 2.597 0.000
0.000 0.000 5.933
H Mn Ga
1 2 1
direct
0.500 0.500 0.000 H
0.000 0.000 0.825 Mn
0.000 0.000 0.175 Mn
0.500 0.500 0.500 Ga
```

Output
SG	P4/mmm, No. 123
distance to the lowest polymorph of the same formula	0.333	eV/atom
total DFT energy (no corrections)	-5.893	eV/atom


# 2
First-principles (PBE) data for ReRuSe2 after structural relaxation, as listed in the Alexandria database.

POSCAR file:
```
ReRuSe2
1.0
4.276 -0.001 -0.008
3.196 2.840 -0.008
1.042 0.396 5.146
Re Ru Se
1 1 2
direct
0.750 0.750 0.750 Re
0.250 0.250 0.250 Ru
0.007 0.007 0.996 Se
0.493 0.493 0.504 Se
```

Output
SG	C2/m, No. 12
distance to the lowest polymorph of the same formula	0.315	eV/atom
total DFT energy (no corrections)	-6.814	eV/atom
formation energy (no corrections)	138	kJ/mol of formula units


# 3
First-principles (PBE) data for Hf3CdMo after structural relaxation, as listed in the Alexandria database.

POSCAR file:
```
Hf3CdMo
1.0
5.038 0.000 0.000
0.000 5.038 0.000
0.000 0.000 5.038
Mo Cd Hf
1 1 3
direct
0.000 0.000 0.000 Mo
0.500 0.500 0.500 Cd
0.000 0.500 0.000 Hf
0.500 0.000 0.000 Hf
0.000 0.000 0.500 Hf
```

Output
SG	Pm-3m, No. 221
distance to the lowest polymorph of the same formula	0.000	eV/atom
total DFT energy (no corrections)	-7.572	eV/atom
DFT formation energy	749	meV/atom


# 4
First-principles (PBE) data for NaLaHfZrO6 after structural relaxation, as listed in the Alexandria database.

POSCAR file:
```
NaLaHfZrO6
1.0
-2.974 1.924 4.656
-4.342 3.859 -0.693
-5.549 -1.663 0.818
Zr O Hf Na La
1 6 1 1 1
direct
0.500 0.500 0.500 Zr
0.248 0.752 0.248 O
0.752 0.248 0.752 O
0.752 0.752 0.248 O
0.248 0.752 0.752 O
0.752 0.248 0.248 O
0.248 0.248 0.752 O
0.000 0.000 0.000 Hf
0.250 0.250 0.250 Na
0.750 0.750 0.750 La
```

Output
SG	F-43m, No. 216
total DFT energy (no corrections)	-8.534	eV/atom
formation energy (no corrections)	-2976	kJ/mol of formula units


# 5
First-principles (PBE) data for BeNb2C after structural relaxation, as listed in the Alexandria database.

POSCAR file:
```
BeNb2C
1.0
-0.952 6.094 0.168
-2.179 -0.181 -5.769
-4.125 2.529 -1.820
Be Nb C
2 4 2
direct
0.500 0.500 0.000 Be
0.250 0.750 0.500 Be
0.375 0.340 0.750 Nb
0.660 0.125 0.250 Nb
0.090 0.625 0.250 Nb
0.875 0.910 0.750 Nb
0.000 0.000 0.000 C
0.750 0.250 0.500 C
```

Output
SG	I-42d, No. 122
distance to the lowest polymorph of the same formula	0.491	eV/atom
total DFT energy (no corrections)	-8.130	eV/atom
DFT formation energy	142	meV/atom


# 6
First-principles (PBE) data for La2GaOs after structural relaxation, as listed in the Alexandria database.

POSCAR file:
```
La2GaOs
1.0
-3.502 0.790 -0.554
-0.914 -3.385 0.950
-0.644 2.199 7.216
La Ga Os
2 1 1
direct
0.000 0.000 0.770 La
0.000 0.000 0.230 La
0.500 0.500 0.500 Ga
0.500 0.500 0.000 Os
```

Output
SG	P4/mmm, No. 123
total DFT energy (no corrections)	-6.226	eV/atom
DFT formation energy	-198	meV/atom


# 7
First-principles (PBE) data for NaAlPt2 after structural relaxation, as listed in the Alexandria database.

POSCAR file:
```
NaAlPt2
1.0
2.992 0.000 0.000
1.496 2.591 0.000
1.496 0.864 8.766
Na Pt Al
1 2 1
direct
0.500 0.500 0.500 Na
0.737 0.737 0.788 Pt
0.263 0.263 0.212 Pt
0.000 0.000 0.000 Al
```

Output
SG	R-3m, No. 166
total DFT energy (no corrections)	-4.771	eV/atom
DFT formation energy	-485	meV/atom


# 8
First-principles (PBE) data for Y2ZnB2 after structural relaxation, as listed in the Alexandria database.

POSCAR file:
```
Y2ZnB2
1.0
-1.958 0.834 4.077
-3.957 -1.767 -1.539
-1.701 -4.530 2.703
B Y Zn
2 2 1
direct
0.587 0.587 0.826 B
0.413 0.413 0.174 B
0.750 0.250 0.500 Y
0.250 0.750 0.500 Y
0.000 0.000 0.000 Zn
```

Output
SG	I4/mmm, No. 139
distance to the lowest polymorph of the same formula	0.518	eV/atom
total DFT energy (no corrections)	-5.284	eV/atom
DFT formation energy	228	meV/atom


# 9
First-principles (PBE) data for CrNiIr2 after structural relaxation, as listed in the Alexandria database.

POSCAR file:
```
CrNiIr2
1.0
-1.597 6.490 0.669
-6.269 -1.336 -2.006
-4.629 2.152 1.790
Cr Ir Ni
2 4 2
direct
0.500 0.500 0.000 Cr
0.250 0.750 0.500 Cr
0.375 0.412 0.750 Ir
0.875 0.838 0.750 Ir
0.588 0.125 0.250 Ir
0.162 0.625 0.250 Ir
0.000 0.000 0.000 Ni
0.750 0.250 0.500 Ni
```

Output
SG	I-42d, No. 122
total DFT energy (no corrections)	-7.867	eV/atom
DFT formation energy	414	meV/atom


# 10
First-principles (PBE) data for NbBiOs2 after structural relaxation, as listed in the Alexandria database.

POSCAR file:
```
NbBiOs2
1.0
5.870 0.000 0.000
0.000 5.870 0.000
2.935 2.935 6.118
Nb Os Bi
2 4 2
direct
0.500 0.500 0.000 Nb
0.250 0.750 0.500 Nb
0.375 0.401 0.750 Os
0.875 0.849 0.750 Os
0.151 0.625 0.250 Os
0.599 0.125 0.250 Os
0.750 0.250 0.500 Bi
0.000 0.000 0.000 Bi
```

Output
SG	I-42d, No. 122
total DFT energy (no corrections)	-7.798	eV/atom
DFT formation energy	1304	meV/atom


# 11
First-principles (PBE) data for TcGe2Cl after structural relaxation, as listed in the Alexandria database.

POSCAR file:
```
TcGe2Cl
1.0
-2.838 -3.390 1.594
-1.611 0.165 4.412
-4.536 0.922 0.813
Ge Cl Tc
2 1 1
direct
0.250 0.250 0.250 Ge
0.750 0.750 0.750 Ge
0.000 0.000 0.000 Cl
0.500 0.500 0.500 Tc
```

Output
SG	Fm-3m, No. 225
distance to the lowest polymorph of the same formula	0.330	eV/atom
total DFT energy (no corrections)	-4.637	eV/atom
formation energy (no corrections)	280	kJ/mol of formula units


# 12
First-principles (PBE) data for Ta2TiMo after structural relaxation, as listed in the Alexandria database.

POSCAR file:
```
Ta2TiMo
1.0
7.282 0.000 0.000
0.000 7.282 0.000
3.641 3.641 2.778
Mo Ta Ti
2 4 2
direct
0.750 0.250 0.500 Mo
0.000 0.000 0.000 Mo
0.375 0.361 0.750 Ta
0.111 0.625 0.250 Ta
0.875 0.889 0.750 Ta
0.639 0.125 0.250 Ta
0.500 0.500 0.000 Ti
0.250 0.750 0.500 Ti
```

Output
SG	I-42d, No. 122
total DFT energy (no corrections)	-10.004	eV/atom
DFT formation energy	604	meV/atom


What did the seventh record say?
First-principles (PBE) data for NaAlPt2 after structural relaxation, as listed in the Alexandria database.

POSCAR file:
```
NaAlPt2
1.0
2.992 0.000 0.000
1.496 2.591 0.000
1.496 0.864 8.766
Na Pt Al
1 2 1
direct
0.500 0.500 0.500 Na
0.737 0.737 0.788 Pt
0.263 0.263 0.212 Pt
0.000 0.000 0.000 Al
```

Output
SG	R-3m, No. 166
total DFT energy (no corrections)	-4.771	eV/atom
DFT formation energy	-485	meV/atom


What is the total DFT energy (no corrections) in the fifth record? -8.130 eV/atom